Record 1
Material: Cr2HgP
Method: DFT, PBE
State: relaxed

Results
The calculation puts the formation energy at 31.7 kJ per mole of atoms.

a = 8.7237 Å, b = 8.7237 Å, c = 8.7237 Å
α = 19.43°, β = 19.43°, γ = 19.43°
Last column: magnetic moment on the atom in μB.
Positions (direct):
Cr1 0.9991 0.9991 0.9991  -1.32
Cr2 0.2655 0.2655 0.2655  2.25
Hg1 0.5048 0.5048 0.5048  0.01
P1 0.7306 0.7306 0.7306  0.07

***

Record 2
Material: Cr2HgP
Method: DFT, PBE
State: relaxed

Results
The calculation puts the formation energy at 32.1 kJ per mole of atoms.

a = 4.8930 Å, b = 4.8930 Å, c = 4.8930 Å
α = 138.67°, β = 118.43°, γ = 76.88°
Last column: magnetic moment on the atom in μB.
Positions (direct):
Cr1 0.0474 0.0474 0.0000  2.85
Cr2 0.4526 0.4526 0.0000  2.85
Hg1 0.7500 0.2500 0.5000  -0.01
P1 0.2500 0.7500 0.5000  -0.18

***

Record 3
Material: CrHgP4
Method: DFT, PBE
State: relaxed

Results
The calculation puts the formation energy at 61.0 kJ per mole of atoms.

a = 5.8775 Å, b = 5.8775 Å, c = 5.8775 Å
α = 60.00°, β = 60.00°, γ = 60.00°
Last column: magnetic moment on the atom in μB.
Positions (direct):
Cr1 0.7500 0.7500 0.7500  4.33
Hg1 0.0000 0.0000 0.0000  0.04
P1 0.7844 0.4052 0.4052  0.05
P2 0.4052 0.4052 0.7844  0.05
P3 0.4052 0.7844 0.4052  0.05
P4 0.4052 0.4052 0.4052  0.05

***

Record 4
Material: CrHgP2
Method: DFT, PBE
State: relaxed

Results
The calculation puts the formation energy at 3.4 kJ per mole of atoms.

a = 2.9307 Å, b = 2.9338 Å, c = 8.0942 Å
α = 90.00°, β = 90.00°, γ = 90.00°
Last column: magnetic moment on the atom in μB.
Positions (direct):
Cr1 0.5000 0.5000 0.2500  0.17
Hg1 0.5000 0.5000 0.7500  0.00
P1 0.0000 0.0000 0.0941  0.00
P2 0.0000 0.0000 0.4059  0.00

***

Record 5
Material: CrHgPPd2
Method: DFT, PBE
State: relaxed

Results
The calculation puts the formation energy at -0.5 kJ per mole of atoms.

a = 4.5462 Å, b = 4.4243 Å, c = 4.5462 Å
α = 90.00°, β = 90.00°, γ = 90.00°
Last column: magnetic moment on the atom in μB.
Positions (direct):
Cr1 0.0000 0.5000 0.0000  2.85
Hg1 0.5000 0.5000 0.5000  -0.04
Pd1 0.0000 0.0000 0.5000  -0.03
Pd2 0.5000 0.0000 0.0000  -0.08
P1 0.0000 0.0000 0.0000  -0.12

***

Record 6
Material: RbCr2HgP
Method: DFT, PBE
State: relaxed

Results
The calculation puts the formation energy at 276.4 kJ per mole of atoms.

a = 4.5886 Å, b = 5.4172 Å, c = 4.5886 Å
α = 90.00°, β = 90.00°, γ = 90.00°
Last column: magnetic moment on the atom in μB.
Positions (direct):
Cr1 0.0000 0.0000 0.5000  -0.18
Cr2 0.5000 0.0000 0.0000  -0.04
Hg1 0.5000 0.5000 0.5000  0.01
Rb1 0.0000 0.0000 0.0000  0.01
P1 0.0000 0.5000 0.0000  -0.09

***

Record 7
Material: PaCr4HgS8
Method: DFT, PBE
State: relaxed

Results
Its formation energy (no corrections) is -0.670 eV per atom.

a = 6.8201 Å, b = 6.8201 Å, c = 7.4844 Å
α = 62.90°, β = 62.90°, γ = 60.00°
Last column: magnetic moment on the atom in μB.
Positions (direct):
Pa1 0.0087 0.0087 0.9740  0.27
Cr1 0.6313 0.6313 0.1061  3.06
Cr2 0.9719 0.5561 0.5001  1.18
Cr3 0.5561 0.9719 0.5001  1.18
Cr4 0.9719 0.9719 0.5001  1.18
Hg1 0.3475 0.3475 0.9574  0.01
S1 0.2683 0.7773 0.6861  -0.01
S2 0.7773 0.2683 0.6861  -0.01
S3 0.2683 0.2683 0.6861  -0.01
S4 0.2187 0.2187 0.3440  -0.07
S5 0.7476 0.2340 0.2708  -0.06
S6 0.2340 0.7476 0.2708  -0.06
S7 0.7476 0.7476 0.2708  -0.06
S8 0.7509 0.7509 0.7472  -0.10

***

Record 8
Material: CrHgPb2
Method: DFT, PBE
State: relaxed

Results
The calculation puts the formation energy at 47.0 kJ per mole of atoms.

a = 4.5162 Å, b = 4.5162 Å, c = 11.2219 Å
α = 78.39°, β = 78.39°, γ = 90.00°
Last column: magnetic moment on the atom in μB.
Positions (direct):
Pb1 0.6204 0.1250 0.2500  -0.04
Pb2 0.1296 0.6250 0.2500  -0.04
Pb3 0.3750 0.3796 0.7500  -0.04
Pb4 0.8750 0.8704 0.7500  -0.03
Cr1 0.5000 0.5000 0.0000  3.94
Cr2 0.2500 0.7500 0.5000  3.94
Hg1 0.0000 0.0000 0.0000  0.01
Hg2 0.7500 0.2500 0.5000  0.01